Record 1
A relaxed KMnFe2 crystal. Source: Alexandria, functional PBE.

Output
**Spin magnetization**: 2.330 μB/atom
**Space group**: Imm2
**E_tot**: -5.77 eV/atom

Lattice parameters (Å, degrees): 5.893 5.893 5.893 152.59 124.97 62.56
Last column: magnetic moment on the atom in μB.
Positions (direct):
Fe 0.985 0.985 0.000  2.62
Fe 0.799 0.299 0.500  2.78
K 0.509 0.509 0.000  -0.02
Mn 0.207 0.707 0.500  3.77

Record 2
A relaxed K2MnFe crystal. Source: Alexandria, functional PBE.

Output
**Spin magnetization**: 1.772 μB/atom
**Space group**: C2/m
**E_tot**: -3.68 eV/atom

Lattice parameters (Å, degrees): 6.262 6.262 3.513 89.83 89.83 122.66
Last column: magnetic moment on the atom in μB.
Positions (direct):
Fe 0.000 0.500 0.500  3.02
K 0.000 0.000 0.000  -0.03
K 0.500 0.500 0.000  -0.03
Mn 0.500 0.000 0.500  4.05

Energy relative to the elements / meV per atom: 1031 1274
Polymorph energy (0 for the lowest one) / meV/atom: 350.4 493.0